P) PBE HfZr2Pt, relaxed; density of states at the Fermi level = 4.16 states/eV per cell; crystal system = tetragonal; space group = P4/mmm, No. 123; spin magnetization = 0.00 μB per cell
1.0
3.352 0.000 0.000
0.000 3.352 0.000
0.000 0.000 7.330
Hf Zr Pt
1 2 1
Cartesian
0.000 0.000 0.000
1.676 1.676 1.992
1.676 1.676 5.338
0.000 0.000 3.665


Q) PBE HfZr2Pt, relaxed; density of states at the Fermi level = 4.19 states/eV per cell; crystal system = monoclinic; space group = Cm, No. 8; spin magnetization = 0.00 μB per cell
1.0
5.198 -2.367 0.000
5.198 2.367 0.000
-1.182 0.000 3.308
Hf Zr Pt
1 2 1
Cartesian
0.000 0.000 0.000
4.349 0.000 1.565
7.355 0.000 0.778
1.547 0.000 2.424


R) PBE HfZr2Pt, relaxed; density of states at the Fermi level = 5.93 states/eV per cell; crystal system = cubic; space group = Fm-3m, No. 225; spin magnetization = 0.00 μB per cell
1.0
0.000 3.414 3.414
3.414 0.000 3.414
3.414 3.414 0.000
Hf Zr Pt
1 2 1
Cartesian
0.000 0.000 0.000
1.707 1.707 1.707
5.121 5.121 5.121
3.414 3.414 3.414


S) PBE HfZr2Pt, relaxed; density of states at the Fermi level = 5.72 states/eV per cell; crystal system = tetragonal; space group = P4/mmm, No. 123; spin magnetization = 0.00 μB per cell
1.0
4.191 0.000 0.000
0.000 4.191 0.000
0.000 0.000 4.610
Hf Zr Pt
1 2 1
Cartesian
0.000 0.000 0.000
0.000 2.095 2.305
2.095 0.000 2.305
2.095 2.095 0.000


Which one is most stable, and which one is least stable? P) is the most stable of them, while R) is the least stable.


P) PBE PuHf3, relaxed; density of states at the Fermi level = 10.43 states/eV per cell; crystal system = cubic; space group = Fm-3m, No. 225; spin magnetization = 5.89 μB per cell
1.0
0.000 3.558 3.558
3.558 0.000 3.558
3.558 3.558 0.000
Pu Hf
1 3
Cartesian
0.000 0.000 0.000
1.779 1.779 1.779
3.558 3.558 3.558
5.336 5.336 5.336


Q) PBE PuHf3, relaxed; density of states at the Fermi level = 7.36 states/eV per cell; crystal system = orthorhombic; space group = Pmm2, No. 25; spin magnetization = 5.31 μB per cell
1.0
3.174 0.000 0.000
0.000 5.150 0.000
0.000 0.000 5.612
Pu Hf
1 3
Cartesian
0.000 0.000 0.000
0.000 2.575 1.837
1.587 0.000 2.815
1.587 2.575 4.573


R) PBE PuHf3, relaxed; density of states at the Fermi level = 15.62 states/eV per cell; crystal system = hexagonal; space group = P6_3/mmc, No. 194; spin magnetization = 11.80 μB per cell
1.0
6.400 0.000 0.000
-3.200 5.542 0.000
0.000 0.000 5.176
Pu Hf
2 6
Cartesian
0.000 3.695 1.294
3.200 1.847 3.882
0.000 1.815 3.882
-1.628 4.635 3.882
1.572 0.907 1.294
1.628 4.635 3.882
4.828 0.907 1.294
3.200 3.727 1.294


Which one is most stable, and which one is least stable? Q) is the most stable of them, while P) is the least stable.


P) PBE PuHf3, relaxed; density of states at the Fermi level = 9.10 states/eV per cell; crystal system = cubic; space group = Pm-3m, No. 221; spin magnetization = 5.99 μB per cell
1.0
4.499 0.000 0.000
0.000 4.499 0.000
0.000 0.000 4.499
Pu Hf
1 3
Cartesian
0.000 0.000 0.000
0.000 2.250 2.250
2.250 0.000 2.250
2.250 2.250 0.000


Q) PBE PuHf3, relaxed; density of states at the Fermi level = 5.94 states/eV per cell; crystal system = tetragonal; space group = I4/mmm, No. 139; spin magnetization = 5.62 μB per cell
1.0
-2.259 2.259 4.453
2.259 -2.259 4.453
2.259 2.259 -4.453
Pu Hf
1 3
Cartesian
0.000 0.000 0.000
2.259 0.000 2.226
0.000 0.000 4.453
0.000 2.259 2.226


R) PBE PuHf3, relaxed; density of states at the Fermi level = 13.30 states/eV per cell; crystal system = orthorhombic; space group = Cmcm, No. 63; spin magnetization = 0.00 μB per cell
1.0
4.692 -4.465 0.000
4.692 4.465 0.000
0.000 0.000 4.089
Pu Hf
2 6
Cartesian
4.692 3.859 3.066
4.692 -3.859 1.022
2.432 1.160 3.066
4.692 1.389 1.022
2.432 -1.160 1.022
6.953 1.160 3.066
4.692 -1.389 3.066
6.953 -1.160 1.022


Which one is most stable, and which one is least stable? Q) is the most stable of them, while R) is the least stable.


P) PBE Pu3Hf, relaxed; density of states at the Fermi level = 16.53 states/eV per cell; crystal system = tetragonal; space group = I4/mmm, No. 139; spin magnetization = 16.28 μB per cell
1.0
-2.320 2.320 4.577
2.320 -2.320 4.577
2.320 2.320 -4.577
Pu Hf
3 1
Cartesian
0.000 0.000 0.000
2.320 0.000 2.289
0.000 2.320 2.289
0.000 0.000 4.577


Q) PBE Pu3Hf, relaxed; density of states at the Fermi level = 16.40 states/eV per cell; crystal system = orthorhombic; space group = Imm2, No. 44; spin magnetization = 5.12 μB per cell
1.0
-1.563 5.232 2.855
1.563 -5.232 2.855
1.563 5.232 -2.855
Pu Hf
3 1
Cartesian
0.000 0.000 0.000
1.563 2.805 1.393
0.000 2.428 4.248
1.563 0.000 2.817


Which one is most stable, and which one is least stable? Q) is the most stable of them, while P) is the least stable.


P) PBE PuHf2Rh, relaxed; density of states at the Fermi level = 15.30 states/eV per cell; crystal system = cubic; space group = Fm-3m, No. 225; spin magnetization = 6.22 μB per cell
1.0
0.000 3.403 3.403
3.403 0.000 3.403
3.403 3.403 0.000
Pu Hf Rh
1 2 1
Cartesian
0.000 0.000 0.000
1.702 1.702 1.702
5.105 5.105 5.105
3.403 3.403 3.403


Q) PBE PuHf2Rh, relaxed; density of states at the Fermi level = 7.69 states/eV per cell; crystal system = trigonal; space group = R-3m, No. 166; spin magnetization = 5.26 μB per cell
1.0
1.596 0.922 9.390
-1.596 0.922 9.390
0.000 -1.843 9.390
Pu Hf Rh
1 2 1
Cartesian
0.000 0.000 0.000
0.000 0.000 6.747
0.000 0.000 21.422
0.000 0.000 14.085


Which one is most stable, and which one is least stable? Q) is the most stable of them, while P) is the least stable.


P) PBE PuHf2Rh, relaxed; density of states at the Fermi level = 7.99 states/eV per cell; crystal system = trigonal; space group = R3m, No. 160; spin magnetization = 5.06 μB per cell
1.0
1.596 0.921 9.395
-1.596 0.921 9.395
0.000 -1.842 9.395
Pu Hf Rh
1 2 1
Cartesian
0.000 0.000 0.000
0.000 0.000 16.151
0.000 0.000 21.441
0.000 0.000 4.706


Q) PBE PuHf2Rh, relaxed; density of states at the Fermi level = 4.66 states/eV per cell; crystal system = tetragonal; space group = P4/mmm, No. 123; spin magnetization = 5.28 μB per cell
1.0
3.256 0.000 0.000
0.000 3.256 0.000
0.000 0.000 7.636
Pu Hf Rh
1 2 1
Cartesian
0.000 0.000 0.000
1.628 1.628 2.190
1.628 1.628 5.446
0.000 0.000 3.818


R) PBE PuHf2Rh, relaxed; density of states at the Fermi level = 5.85 states/eV per cell; crystal system = tetragonal; space group = P4/mmm, No. 123; spin magnetization = 5.52 μB per cell
1.0
4.943 0.000 0.000
0.000 4.943 0.000
0.000 0.000 3.181
Pu Hf Rh
1 2 1
Cartesian
0.000 0.000 0.000
0.000 2.472 1.590
2.472 0.000 1.590
2.472 2.472 0.000


Which one is most stable, and which one is least stable? Q) is the most stable of them, while P) is the least stable.